[1]
## CuP2Ru (PBE-GGA)

Data for a relaxed structure of CuP2Ru.

a = 2.873 Å, b = 2.873 Å, c = 7.944 Å
α = 90.00°, β = 90.00°, γ = 121.82°
Fractional positions:
Cu (0.000, 0.000, 0.000)
P (0.500, 0.500, 0.254)
P (0.500, 0.500, 0.746)
Ru (0.000, 0.000, 0.500)

SG: Cmmm
E above lowest polymorph (meV per atom): 420
Energy of formation from the pure elements (kJ/mol of formula units): 104
Total DFT energy (no corrections) (eV per cell): -23.11


[2]
## YSnTeN2 (PBE-GGA)

Data for a relaxed structure of YSnTeN2.

a = 4.245 Å, b = 4.245 Å, c = 5.800 Å
α = 90.00°, β = 90.00°, γ = 90.00°
Fractional positions:
Y (0.000, 0.000, 0.000)
Sn (0.500, 0.500, 0.500)
Te (0.500, 0.500, 0.000)
N (0.000, 0.500, 0.500)
N (0.500, 0.000, 0.500)

SG: P4/mmm
E above lowest polymorph (meV per atom): 0
Formation energy from raw total energies (meV/atom): 570.0
Total DFT energy (no corrections) (eV per cell): -27.41